(1)
The following is a PBE calculation of an optimized crystal structure of Sm5ZnSb4, from Alexandria. Values from VASP.

Output
DOS at the Fermi energy, states/eV/f.u.: 7.3
ΔE_f (raw), eV/f.u.: -9.19

Geometry as Quantum ESPRESSO input:
```
&SYSTEM
  ibrav = 0, nat = 10, ntyp = 3
/
ATOMIC_SPECIES
Sb 121.76 Sb.upf
Sm 150.36 Sm.upf
Zn 65.41 Zn.upf
CELL_PARAMETERS angstrom
-5.2294 0.1745 -3.4631
-4.4126 -6.2660 0.6631
-6.0546 3.0754 3.6134
ATOMIC_POSITIONS crystal
Sb 0.8001 0.8003 0.6013
Sb 0.2017 0.1997 0.3987
Sb 0.4014 0.3987 0.8003
Sb 0.6004 0.6013 0.1997
Sm 0.5016 0.0000 0.0000
Sm 0.3059 0.7991 0.5908
Sm 0.1050 0.5908 0.2009
Sm 0.6958 0.2009 0.4092
Sm 0.8967 0.4092 0.7991
Zn 0.0018 0.0000 0.0000
```

(2)
The following is a PBE calculation of an optimized crystal structure of MnFe4Re, from Alexandria. Values from VASP.

Output
DOS at the Fermi energy, states/eV/f.u.: 6.8
Energy relative to the elements, eV per atom: 0.091

Geometry as Quantum ESPRESSO input:
```
&SYSTEM
  ibrav = 0, nat = 6, ntyp = 3
/
ATOMIC_SPECIES
Fe 55.84 Fe.upf
Re 186.21 Re.upf
Mn 54.94 Mn.upf
CELL_PARAMETERS angstrom
-1.6968 -1.6713 3.9854
-3.8091 1.8822 1.8719
-3.9939 -2.3674 0.0112
ATOMIC_POSITIONS crystal
Fe 0.3760 0.3760 0.3760
Fe 0.3760 0.8721 0.3760
Fe 0.8721 0.3760 0.3760
Fe 0.3760 0.3760 0.8721
Re 0.0000 0.0000 0.0000
Mn 0.7500 0.7500 0.7500
```

(3)
The following is a PBE calculation of an optimized crystal structure of RbPtC, from Alexandria. Values from VASP.

Output
DOS at the Fermi energy, states/eV/f.u.: 0.3
Energy relative to the elements, eV per atom: 0.137

Geometry as Quantum ESPRESSO input:
```
&SYSTEM
  ibrav = 0, nat = 6, ntyp = 3
/
ATOMIC_SPECIES
Pt 195.08 Pt.upf
C 12.01 C.upf
Rb 85.47 Rb.upf
CELL_PARAMETERS angstrom
4.3755 0.0000 0.0000
2.1878 6.3266 1.5449
2.1878 2.8862 6.1263
ATOMIC_POSITIONS crystal
Pt 0.1928 0.5984 0.0160
Pt 0.8072 0.4016 0.9840
C 0.9535 0.1062 0.9868
C 0.0465 0.8938 0.0132
Rb 0.6111 0.1721 0.6056
Rb 0.3889 0.8279 0.3944
```

(4)
The following is a PBE calculation of an optimized crystal structure of LaTaW2, from Alexandria. Values from VASP.

Output
DOS at the Fermi energy, states/eV/f.u.: 6.2
Energy relative to the elements, eV per atom: 0.704

Geometry as Quantum ESPRESSO input:
```
&SYSTEM
  ibrav = 0, nat = 4, ntyp = 3
/
ATOMIC_SPECIES
W 183.84 W.upf
Ta 180.95 Ta.upf
La 138.91 La.upf
CELL_PARAMETERS angstrom
-5.1188 -5.2230 -6.3542
-3.1134 -7.4269 -5.3857
-5.7246 -6.8572 -3.7504
ATOMIC_POSITIONS crystal
W 0.4879 0.4879 0.4879
W 0.0121 0.0121 0.0121
Ta 0.7500 0.7500 0.7500
La 0.2500 0.2500 0.2500
```

(5)
The following is a PBE calculation of an optimized crystal structure of SmTc5P3, from Alexandria. Values from VASP.

Output
DOS at the Fermi energy, states/eV/f.u.: 7.0
Energy relative to the elements, eV per atom: -0.465

Geometry as Quantum ESPRESSO input:
```
&SYSTEM
  ibrav = 0, nat = 18, ntyp = 3
/
ATOMIC_SPECIES
Tc 98.00 Tc.upf
P 30.97 P.upf
Sm 150.36 Sm.upf
CELL_PARAMETERS angstrom
4.0009 0.0000 0.0000
-2.0005 6.3585 0.0000
0.0000 0.0000 11.5045
ATOMIC_POSITIONS crystal
Tc 0.5413 0.0826 0.6462
Tc 0.1933 0.3865 0.9373
Tc 0.1933 0.3865 0.5627
Tc 0.0000 0.0000 0.5000
Tc 0.4587 0.9174 0.3538
Tc 0.8067 0.6135 0.4373
Tc 0.5413 0.0826 0.8538
Tc 0.4587 0.9174 0.1462
Tc 0.8067 0.6135 0.0627
Tc 0.0000 0.0000 0.0000
P 0.6267 0.2534 0.4501
P 0.1267 0.2533 0.7500
P 0.3733 0.7466 0.5499
P 0.8733 0.7467 0.2500
P 0.3733 0.7466 0.9501
P 0.6267 0.2534 0.0499
Sm 0.8259 0.6518 0.7500
Sm 0.1741 0.3482 0.2500
```

(6)
The following is a PBE calculation of an optimized crystal structure of SrTaPb, from Alexandria. Values from VASP.

Output
DOS at the Fermi energy, states/eV/f.u.: 2.4
Energy relative to the elements, eV per atom: 0.622

Geometry as Quantum ESPRESSO input:
```
&SYSTEM
  ibrav = 0, nat = 3, ntyp = 3
/
ATOMIC_SPECIES
Pb 207.20 Pb.upf
Ta 180.95 Ta.upf
Sr 87.62 Sr.upf
CELL_PARAMETERS angstrom
3.3687 0.0000 0.0000
-1.6844 2.9174 0.0000
0.0000 0.0000 8.1568
ATOMIC_POSITIONS crystal
Pb 0.0000 0.0000 0.9747
Ta 0.6667 0.3333 0.6791
Sr 0.3333 0.6667 0.3463
```

(7)
The following is a PBE calculation of an optimized crystal structure of RbCa2HfBi, from Alexandria. Values from VASP.

Output
DOS at the Fermi energy, states/eV/f.u.: 6.4
Energy relative to the elements, eV per atom: 0.426

Geometry as Quantum ESPRESSO input:
```
&SYSTEM
  ibrav = 0, nat = 5, ntyp = 4
/
ATOMIC_SPECIES
Bi 208.98 Bi.upf
Hf 178.49 Hf.upf
Ca 40.08 Ca.upf
Rb 85.47 Rb.upf
CELL_PARAMETERS angstrom
-2.3850 -5.7420 0.4244
4.0668 -1.4130 3.7361
-3.6582 1.8660 4.6877
ATOMIC_POSITIONS crystal
Bi 0.0000 0.0000 0.0000
Hf 0.0000 0.5000 0.0000
Ca 0.5000 0.0000 0.0000
Ca 0.0000 0.0000 0.5000
Rb 0.5000 0.5000 0.5000
```

(8)
The following is a PBE calculation of an optimized crystal structure of Li2LaMo, from Alexandria. Values from VASP.

Output
DOS at the Fermi energy, states/eV/f.u.: 2.8
Energy relative to the elements, eV per atom: 0.437

Geometry as Quantum ESPRESSO input:
```
&SYSTEM
  ibrav = 0, nat = 4, ntyp = 3
/
ATOMIC_SPECIES
Mo 95.94 Mo.upf
La 138.91 La.upf
Li 6.94 Li.upf
CELL_PARAMETERS angstrom
3.0743 0.0073 0.0000
-1.1370 2.8564 0.0000
0.0000 0.0000 9.8408
ATOMIC_POSITIONS crystal
Mo 0.0000 0.0000 0.4881
La 0.5000 0.5000 0.7145
Li 0.0000 0.0000 0.0263
Li 0.5000 0.5000 0.2711
```

(9)
The following is a PBE calculation of an optimized crystal structure of YHoP2, from Alexandria. Values from VASP.

Output
DOS at the Fermi energy, states/eV/f.u.: 0.5
Energy relative to the elements, eV per atom: -1.622

Geometry as Quantum ESPRESSO input:
```
&SYSTEM
  ibrav = 0, nat = 4, ntyp = 3
/
ATOMIC_SPECIES
P 30.97 P.upf
Y 88.91 Y.upf
Ho 164.93 Ho.upf
CELL_PARAMETERS angstrom
-0.5165 -1.3554 -3.7296
2.8777 -2.1506 -1.7628
-1.8630 -6.6509 0.5258
ATOMIC_POSITIONS crystal
P 0.2506 0.2506 0.2481
P 0.7494 0.7494 0.7519
Y 0.5000 0.5000 0.5000
Ho 0.0000 0.0000 0.0000
```

(10)
The following is a PBE calculation of an optimized crystal structure of TmBe4Pt, from Alexandria. Values from VASP.

Output
DOS at the Fermi energy, states/eV/f.u.: 2.1
Energy relative to the elements, eV per atom: -0.335

Geometry as Quantum ESPRESSO input:
```
&SYSTEM
  ibrav = 0, nat = 6, ntyp = 3
/
ATOMIC_SPECIES
Pt 195.08 Pt.upf
Be 9.01 Be.upf
Tm 168.93 Tm.upf
CELL_PARAMETERS angstrom
-1.7975 0.6439 4.2730
-1.0507 -3.6921 2.6775
2.5760 -0.9510 3.7900
ATOMIC_POSITIONS crystal
Pt 0.0000 0.0000 0.0000
Be 0.6263 0.6263 0.6263
Be 0.6263 0.6263 0.1210
Be 0.6263 0.1210 0.6263
Be 0.1210 0.6263 0.6263
Tm 0.2500 0.2500 0.2500
```

(11)
The following is a PBE calculation of an optimized crystal structure of TmPu3Cu8, from Alexandria. Values from VASP.

Output
DOS at the Fermi energy, states/eV/f.u.: 26.2
Energy relative to the elements, eV per atom: -0.084

Geometry as Quantum ESPRESSO input:
```
&SYSTEM
  ibrav = 0, nat = 12, ntyp = 3
/
ATOMIC_SPECIES
Cu 63.55 Cu.upf
Pu 244.00 Pu.upf
Tm 168.93 Tm.upf
CELL_PARAMETERS angstrom
5.2277 0.0000 0.0000
-2.6138 4.5273 0.0000
0.0000 0.0000 8.4888
ATOMIC_POSITIONS crystal
Cu 0.3333 0.6667 0.5010
Cu 0.4990 0.9979 0.7458
Cu 0.1680 0.3359 0.2542
Cu 0.6641 0.8320 0.2542
Cu 0.4990 0.5010 0.7458
Cu 0.3333 0.6667 0.0014
Cu 0.1680 0.8320 0.2542
Cu 0.0021 0.5010 0.7458
Pu 0.6667 0.3333 0.4348
Pu 0.6667 0.3333 0.0533
Pu 0.0000 0.0000 0.9498
Tm 0.0000 0.0000 0.5600
```

(12)
The following is a PBE calculation of an optimized crystal structure of AlPd6Au3, from Alexandria. Values from VASP.

Output
DOS at the Fermi energy, states/eV/f.u.: 5.4
Energy relative to the elements, eV per atom: -0.164

Geometry as Quantum ESPRESSO input:
```
&SYSTEM
  ibrav = 0, nat = 20, ntyp = 3
/
ATOMIC_SPECIES
Au 196.97 Au.upf
Pd 106.42 Pd.upf
Al 26.98 Al.upf
CELL_PARAMETERS angstrom
-5.4688 -2.0837 -2.8596
3.4378 -0.2469 -6.3945
0.9343 -7.1242 0.7774
ATOMIC_POSITIONS crystal
Au 0.5000 0.5000 0.0000
Au 0.0000 0.0000 0.5000
Au 0.5614 0.8864 0.6410
Au 0.9386 0.3864 0.8590
Au 0.0614 0.6136 0.1410
Au 0.4386 0.1136 0.3590
Pd 0.3565 0.8747 0.0253
Pd 0.3055 0.7424 0.3799
Pd 0.1435 0.3747 0.4747
Pd 0.7264 0.8462 0.2525
Pd 0.2736 0.1538 0.7475
Pd 0.6435 0.1253 0.9747
Pd 0.7736 0.3462 0.2475
Pd 0.8565 0.6253 0.5253
Pd 0.6945 0.2576 0.6201
Pd 0.1945 0.2424 0.1201
Pd 0.2264 0.6538 0.7525
Pd 0.8055 0.7576 0.8799
Al 0.0000 0.0000 0.0000
Al 0.5000 0.5000 0.5000
```

Q: The highest DOS at the Fermi energy belongs to which entry?
A: TmPu3Cu8

Q: What is the formula in the fifth record?
A: SmTc5P3